Crystalline Th8Si3GeTe4 at its relaxed geometry, computed with PBE.

Structure (POSCAR):
```
Th8Si3GeTe4
1.0
-1.851 1.293 8.376
-7.935 -3.825 -1.163
7.167 -4.347 -2.237
Th Si Ge Te
8 3 1 4
Cartesian
0.875 -6.643 -0.996 Th
-2.659 -4.498 0.107 Th
0.988 -3.054 0.690 Th
-0.038 -6.005 3.134 Th
-2.581 -0.874 1.842 Th
-3.607 -3.824 4.286 Th
0.040 -2.381 4.869 Th
-3.494 -0.236 5.971 Th
-4.893 -1.266 3.606 Si
-1.310 -3.439 2.488 Si
-0.384 -4.086 -1.700 Si
-3.968 -1.912 -0.582 Ge
-0.926 0.647 4.188 Te
2.658 -1.527 3.069 Te
0.000 0.000 0.000 Te
3.583 -2.174 -1.118 Te
```

Values from the calculation:
Formation energy (no corrections) = -0.9854 eV/atom
Calculated density = 8.76 g cm⁻³
DFT total energy = -6.786 eV/atom